An optimized crystal structure of Y2SiClO. Source: the Alexandria database, functional GGA-PBE.

Cell: 5.0394 5.0394 3.7094 Å, 90.00 90.00 90.00°
Fractional coordinates of all 5 atoms:
Y: 0.0000 0.5000 0.0000
Y: 0.5000 0.0000 0.0000
Si: 0.0000 0.0000 0.5000
Cl: 0.5000 0.5000 0.5000
O: 0.0000 0.0000 0.0000

Results
ΔE_f (raw)   -568.9 kJ/mol of formula units
Calculated density   4.54 Mg/m³
Energy   -6.21 eV/atom